Record 1
Crystalline BC2 at its relaxed geometry, computed with PBE.

Results
- space group = No. 1
- ΔE_f (eV/atom) = 0.389
- energy above the lowest structure with this stoichiometry (meV per atom) = 149

Lattice parameters (Å, degrees): 4.613 4.586 4.441 102.93 96.53 120.18
Fractional coordinates of all 12 atoms:
B1 0.201 0.829 0.511
B2 0.990 0.705 0.102
B3 0.353 0.674 0.036
B4 0.832 0.163 0.498
C1 0.502 0.491 0.506
C2 0.370 0.361 0.134
C3 0.230 0.550 0.637
C4 0.720 0.064 0.108
C5 0.642 0.318 0.995
C6 0.551 0.222 0.632
C7 0.993 0.011 0.985
C8 0.865 0.861 0.606

***

Record 2
Crystalline La2Th3UN6 at its relaxed geometry, computed with PBE.

Results
- space group = No. 12
- formation energy from raw total energies (meV per atom) = -1471

Lattice parameters (Å, degrees): 6.313 6.313 6.275 99.63 99.63 119.85
Fractional coordinates of all 12 atoms:
La1 0.333 0.667 0.000
La2 0.667 0.333 0.000
Th1 0.168 0.832 0.500
Th2 0.832 0.168 0.500
Th3 0.500 0.500 0.500
U1 0.000 0.000 0.000
N1 0.921 0.630 0.764
N2 0.786 0.786 0.255
N3 0.079 0.370 0.236
N4 0.630 0.921 0.764
N5 0.214 0.214 0.745
N6 0.370 0.079 0.236

***

Fermi-level density of states (states/eV/cell)
3.0 5.9
Uncorrected energy (eV per atom)
-7.986 -9.250